VASP calculation (PBE with a Hubbard U) on crystalline RbCrO3F at its relaxed geometry.

Summary:
DOS(E_F): 0.00 states/eV/f.u.
V: 18.69 Å³/atom
Total DFT energy (no corrections): -5.9013 eV/atom

Lattice parameters (Å, degrees): 7.2203 7.7220 8.0471 90.00 90.00 90.00
Sites, in units of the cell vectors:
Rb 0.2653 0.9027 0.6241
Rb 0.2347 0.0973 0.1241
Rb 0.7653 0.5973 0.3759
Rb 0.7347 0.4027 0.8759
Cr 0.2385 0.3922 0.6158
Cr 0.2615 0.6078 0.1158
Cr 0.7385 0.1078 0.3842
Cr 0.7615 0.8922 0.8842
O 0.2186 0.2655 0.4557
O 0.2814 0.7345 0.9557
O 0.7186 0.2345 0.5443
O 0.7814 0.7655 0.0443
O 0.2741 0.2758 0.7810
O 0.2259 0.7242 0.2810
O 0.7741 0.2242 0.2190
O 0.7259 0.7758 0.7190
O 0.0520 0.5088 0.6376
O 0.4480 0.4912 0.1376
O 0.5520 0.9912 0.3624
O 0.9480 0.0088 0.8624
F 0.9314 0.9637 0.4104
F 0.5686 0.0363 0.9104
F 0.4314 0.5363 0.5896
F 0.0686 0.4637 0.0896